Density functional theory data (PBE) for K4SmDy3Se8 after structural relaxation.

abc: 8.4695 9.1115 8.4698
angles: 117.72 120.00 90.00
Closest atoms and distances in Å follow each position.
Sites, in units of the cell vectors:
1 K 0.5000 0.0000 0.0000  6 Se 3.30
2 K 0.5000 0.0000 0.5000  6 Se 3.34
3 K 0.0000 0.0000 0.0000  6 Se 3.34
4 K 0.0000 0.0000 0.5000  6 Se 3.34
5 Sm 0.0000 0.5000 0.0000  6 Se 2.94
6 Dy 0.5000 0.5000 0.0000  6 Se 2.90-2.91
7 Dy 0.5000 0.5000 0.5000  6 Se 2.90-2.91
8 Dy 0.0000 0.5000 0.5000  6 Se 2.90-2.91
9 Se 0.2378 0.7065 0.9689  2 Dy 2.90, 1 Sm 2.94
10 Se 0.2378 0.7065 0.4757  2 Dy 2.90, 1 Sm 2.94
11 Se 0.2651 0.2955 0.5302  3 Dy 2.91
12 Se 0.7310 0.7065 0.9689  2 Dy 2.90, 1 Sm 2.94
13 Se 0.2690 0.2935 0.0311  2 Dy 2.90, 1 Sm 2.94
14 Se 0.7349 0.7045 0.4698  3 Dy 2.91
15 Se 0.7622 0.2935 0.5243  2 Dy 2.90, 1 Sm 2.94
16 Se 0.7622 0.2935 0.0311  2 Dy 2.90, 1 Sm 2.94

Output
Magnetic moment, Bohr magnetons per cell: 0.000
Energy, eV per atom: -4.9370